1.
! Sr2ScNbV PBE optimized geometry; values from VASP
! Density of states at the Fermi level, states/eV per atom: 1.31
! E_form, eV/atom: 1.28
! Final energy, eV/f.u.: -22.489
! Magnetization, μB per atom: 0.810
&SYSTEM
  ibrav = 0, nat = 5, ntyp = 4
/
ATOMIC_SPECIES
Sr 87.62 Sr.upf
Sc 44.96 Sc.upf
Nb 92.91 Nb.upf
V 50.94 V.upf
ATOMIC_POSITIONS angstrom
Sr 0.000 2.975 0.000
Sr 2.975 0.000 0.000
Sc 0.000 0.000 2.466
Nb 0.000 0.000 0.000
V 2.975 2.975 2.466
CELL_PARAMETERS angstrom
5.949 0.000 0.000
0.000 5.949 0.000
0.000 0.000 4.931



2.
! Sc2Ta2Nb PBE optimized geometry; values from VASP
! Density of states at the Fermi level, states/eV per atom: 1.06
! E_form, eV/atom: 0.37
! Final energy, eV/f.u.: -44.612
! Magnetization, μB per atom: 0.000
&SYSTEM
  ibrav = 0, nat = 10, ntyp = 3
/
ATOMIC_SPECIES
Sc 44.96 Sc.upf
Ta 180.95 Ta.upf
Nb 92.91 Nb.upf
ATOMIC_POSITIONS angstrom
Sc 1.114 2.274 0.000
Sc 2.274 5.662 0.000
Sc 4.502 1.114 0.000
Sc 5.662 4.502 0.000
Ta 0.961 4.349 2.343
Ta 2.427 0.961 2.343
Ta 4.349 5.815 2.343
Ta 5.815 2.427 2.343
Nb 0.000 0.000 2.343
Nb 3.388 3.388 2.343
CELL_PARAMETERS angstrom
6.776 0.000 0.000
0.000 6.776 0.000
0.000 0.000 4.685



3.
! ScTaNb4 PBE optimized geometry; values from VASP
! Density of states at the Fermi level, states/eV per atom: 1.49
! E_form, eV/atom: 0.07
! Final energy, eV/f.u.: -58.069
! Magnetization, μB per atom: 0.000
! Excess energy over the best structure of this formula in the dataset, meV per atom: 0
&SYSTEM
  ibrav = 0, nat = 6, ntyp = 3
/
ATOMIC_SPECIES
Sc 44.96 Sc.upf
Ta 180.95 Ta.upf
Nb 92.91 Nb.upf
ATOMIC_POSITIONS angstrom
Sc 0.000 0.000 0.000
Ta -0.004 -1.111 3.224
Nb 0.051 3.017 1.112
Nb 0.046 2.006 4.203
Nb 1.683 1.052 2.246
Nb 1.678 0.041 5.337
CELL_PARAMETERS angstrom
3.334 0.000 0.000
-1.596 5.279 0.000
-0.008 -2.221 6.449